No. 1
An optimized crystal structure of Ho4Mg3Hg. Source: Alexandria, functional PBE.

energy of formation: -0.176 eV/atom

Cell lengths 3.775, 3.775, 14.874 Å; angles 90.00, 90.00, 90.00 degrees
Sites, in units of the cell vectors:
Ho  0.000  0.000  0.121
Ho  0.000  0.000  0.373
Ho  0.000  0.000  0.627
Ho  0.000  0.000  0.879
Mg  0.500  0.500  0.249
Mg  0.500  0.500  0.500
Mg  0.500  0.500  0.751
Hg  0.500  0.500  0.000


No. 2
An optimized crystal structure of Ho4Mg3Hg. Source: Alexandria, functional PBE.

energy of formation: -0.121 eV/atom

Cell lengths 3.425, 5.012, 12.475 Å; angles 90.00, 90.00, 90.00 degrees
Sites, in units of the cell vectors:
Ho  0.000  0.000  0.000
Ho  0.000  0.500  0.331
Ho  0.500  0.000  0.491
Ho  0.500  0.500  0.841
Mg  0.000  0.000  0.731
Mg  0.000  0.500  0.599
Mg  0.500  0.500  0.102
Hg  0.500  0.000  0.234


No. 3
An optimized crystal structure of HoMg3Hg2. Source: Alexandria, functional PBE.

energy of formation: -0.246 eV/atom

Cell lengths 8.609, 8.609, 8.020 Å; angles 111.90, 111.90, 31.11 degrees
Sites, in units of the cell vectors:
Ho  0.116  0.116  0.162
Ho  0.884  0.884  0.838
Mg  0.063  0.063  0.696
Mg  0.308  0.308  0.095
Mg  0.353  0.353  0.502
Mg  0.647  0.647  0.498
Mg  0.692  0.692  0.905
Mg  0.937  0.937  0.304
Hg  0.239  0.239  0.706
Hg  0.491  0.491  0.177
Hg  0.509  0.509  0.823
Hg  0.761  0.761  0.294


No. 4
An optimized crystal structure of Ho2Mg3Hg3. Source: Alexandria, functional PBE.

energy of formation: -0.373 eV/atom

Cell lengths 8.807, 8.807, 8.807 Å; angles 33.43, 33.43, 33.43 degrees
Sites, in units of the cell vectors:
Ho  0.000  0.000  0.000
Ho  0.490  0.490  0.490
Mg  0.248  0.248  0.248
Mg  0.744  0.744  0.744
Mg  0.872  0.872  0.872
Hg  0.127  0.127  0.127
Hg  0.369  0.369  0.369
Hg  0.613  0.613  0.613


No. 5
An optimized crystal structure of Ho7Mg2Hg2. Source: Alexandria, functional PBE.

energy of formation: 0.081 eV/atom

Cell lengths 6.834, 6.834, 7.762 Å; angles 90.00, 90.00, 110.70 degrees
Sites, in units of the cell vectors:
Ho  0.000  0.000  0.000
Ho  0.000  0.500  0.283
Ho  0.000  0.500  0.717
Ho  0.500  0.000  0.283
Ho  0.500  0.000  0.717
Ho  0.500  0.500  0.254
Ho  0.500  0.500  0.746
Mg  0.174  0.174  0.500
Mg  0.826  0.826  0.500
Hg  0.293  0.707  0.000
Hg  0.707  0.293  0.000


No. 6
An optimized crystal structure of HoMg2Hg6. Source: Alexandria, functional PBE.

energy of formation: -0.215 eV/atom

Cell lengths 8.975, 8.975, 5.428 Å; angles 97.56, 97.56, 76.87 degrees
Sites, in units of the cell vectors:
Ho  0.130  0.870  0.750
Ho  0.870  0.130  0.250
Mg  0.214  0.464  0.910
Mg  0.464  0.214  0.410
Mg  0.536  0.786  0.590
Mg  0.786  0.536  0.090
Hg  0.007  0.759  0.199
Hg  0.100  0.357  0.346
Hg  0.241  0.993  0.301
Hg  0.321  0.568  0.471
Hg  0.357  0.100  0.846
Hg  0.432  0.679  0.029
Hg  0.568  0.321  0.971
Hg  0.643  0.900  0.154
Hg  0.679  0.432  0.529
Hg  0.759  0.007  0.699
Hg  0.900  0.643  0.654
Hg  0.993  0.241  0.801


Number 1: volume 211.9 Å³/f.u.. Number 2: volume 214.1 Å³/f.u.. Number 3: volume 141.6 Å³/f.u.. Number 4: volume 184.7 Å³/f.u.. Number 5: volume 339.1 Å³/f.u.. Number 6: volume 209.9 Å³/f.u..